[1]
DFT (PBE) results for a relaxed structure of Tc3SI.

a b c (Å): 4.8785 4.8785 4.8785
angles (deg): 90.00 90.00 90.00
With the nearest neighbours (Å) after each atom.
Positions (direct):
Tc 0.5000 0.0000 0.0000  2 I 2.44
I 0.0000 0.0000 0.0000  6 Tc 2.44
Tc 0.0000 0.5000 0.0000  2 I 2.44
S 0.5000 0.5000 0.5000  12 Tc 3.45
Tc 0.0000 0.0000 0.5000  2 I 2.44

electronic total energy: -5.045 eV/atom
spin magnetization: 0.795 μB per atom
energy relative to the elements, uncorrected: 1114 kJ/mol of formula units
relative energy among the computed polymorphs: 7.135 eV/f.u.



[2]
DFT (PBE) results for a relaxed structure of Be2FePt.

a b c (Å): 9.0889 5.2125 5.2125
angles (deg): 29.00 29.33 29.33
With the nearest neighbours (Å) after each atom.
Positions (direct):
Fe 0.0000 0.0000 0.0000  2 Be 2.30, 4 Pt 2.55
Be 0.7472 0.0000 0.0000  1 Pt 2.25, 1 Fe 2.30
Be 0.2528 0.0000 0.0000  1 Pt 2.25, 1 Fe 2.30
Pt 0.5000 0.0000 0.0000  2 Be 2.25

DFT formation energy: 1.4 eV per formula unit
electronic total energy: -5.135 eV/atom
spin magnetization: 0.768 μB per atom



[3]
DFT (PBE) results for a relaxed structure of SmAuC.

a b c (Å): 3.8599 4.7584 6.9068
angles (deg): 102.47 90.00 113.93
With the nearest neighbours (Å) after each atom.
Positions (direct):
Au 0.6355 0.2711 0.4345  1 C 2.58, 3 Au 2.72-2.77
C 0.5770 0.1540 0.0499  1 C 1.35
Sm 0.1188 0.2375 0.8065  5 C 2.60-2.90
Au 0.3645 0.7289 0.5655  1 C 2.58, 3 Au 2.72-2.77
Sm 0.8812 0.7625 0.1935  5 C 2.60-2.90
C 0.4230 0.8460 0.9501  1 C 1.35

DFT formation energy: -1.1 eV per formula unit
electronic total energy: -6.108 eV/atom
spin magnetization: 0.000 μB per atom



[4]
DFT (PBE) results for a relaxed structure of Y2Zn15Au2.

a b c (Å): 6.8386 6.8386 6.8386
angles (deg): 82.84 82.84 82.84
With the nearest neighbours (Å) after each atom.
Positions (direct):
Zn 0.2964 0.7036 0.0000  8 Zn 2.60-2.77
Zn 0.0000 0.7036 0.2964  8 Zn 2.60-2.77
Zn 0.0000 0.0000 0.5000  8 Zn 2.60-2.67, 2 Au 2.72
Zn 0.8360 0.3534 0.3534  8 Zn 2.55-2.77
Zn 0.6466 0.1640 0.6466  8 Zn 2.55-2.77
Y 0.3401 0.3401 0.3401  1 Au 3.04, 9 Zn 3.17-3.20
Zn 0.7036 0.0000 0.2964  8 Zn 2.60-2.77
Zn 0.6466 0.6466 0.1640  8 Zn 2.55-2.77
Y 0.6599 0.6599 0.6599  1 Au 3.04, 9 Zn 3.17-3.20
Au 0.1107 0.1107 0.1107  6 Zn 2.72-2.86, 1 Au 2.93, 1 Y 3.04
Zn 0.1640 0.6466 0.6466  8 Zn 2.55-2.77
Zn 0.3534 0.3534 0.8360  8 Zn 2.55-2.77
Zn 0.0000 0.2964 0.7036  8 Zn 2.60-2.77
Zn 0.2964 0.0000 0.7036  8 Zn 2.60-2.77
Zn 0.3534 0.8360 0.3534  8 Zn 2.55-2.77
Au 0.8893 0.8893 0.8893  6 Zn 2.72-2.86, 1 Au 2.93, 1 Y 3.04
Zn 0.5000 0.0000 0.0000  8 Zn 2.60-2.67, 2 Au 2.72
Zn 0.7036 0.2964 0.0000  8 Zn 2.60-2.77
Zn 0.0000 0.5000 0.0000  8 Zn 2.60-2.67, 2 Au 2.72

DFT formation energy: -5.4 eV per formula unit
electronic total energy: -2.314 eV/atom
spin magnetization: 0.000 μB per atom



[5]
DFT (PBE) results for a relaxed structure of CeAgAu4.

a b c (Å): 4.9945 7.5338 7.5966
angles (deg): 90.00 109.19 90.00
With the nearest neighbours (Å) after each atom.
Positions (direct):
Au 0.4253 0.2500 0.8506  2 Ag 2.69, 1 Ce 2.83
Au 0.7684 0.5731 0.5369  3 Au 2.67-2.78, 1 Ag 2.73
Au 0.7684 0.9269 0.5369  3 Au 2.67-2.78, 1 Ag 2.73
Au 0.5747 0.7500 0.1494  2 Ag 2.69, 1 Ce 2.83
Ce 0.3771 0.7500 0.7542  1 Au 2.83
Au 0.2316 0.4269 0.4631  3 Au 2.67-2.78, 1 Ag 2.73
Au 0.0000 0.0000 0.0000  2 Ag 2.81
Ce 0.6229 0.2500 0.2458  1 Au 2.83
Ag 0.8548 0.2500 0.7096  6 Au 2.69-2.81
Au 0.2316 0.0731 0.4631  3 Au 2.67-2.78, 1 Ag 2.73
Au 0.0000 0.5000 0.0000  2 Ag 2.81
Ag 0.1452 0.7500 0.2904  6 Au 2.69-2.81

DFT formation energy: -1.2 eV per formula unit
electronic total energy: -3.841 eV/atom
spin magnetization: 0.181 μB per atom
relative energy among the computed polymorphs: 1.069 eV/f.u.



[6]
DFT (PBE) results for a relaxed structure of BeP2ClF.

a b c (Å): 4.0251 4.0251 5.4762
angles (deg): 90.00 90.00 90.00
With the nearest neighbours (Å) after each atom.
Positions (direct):
F 0.0000 0.0000 0.0000  4 P 2.01
P 0.5000 0.0000 0.0000  2 F 2.01
P 0.0000 0.5000 0.0000  2 F 2.01
Cl 0.0000 0.0000 0.5000  2 F 2.74, 4 Be 2.85
Be 0.5000 0.5000 0.5000  4 Cl 2.85

electronic total energy: -2.864 eV/atom
spin magnetization: 0.087 μB per atom
energy relative to the elements, uncorrected: 381 kJ/mol of formula units
relative energy among the computed polymorphs: 2.586 eV/f.u.



[7]
DFT (PBE) results for a relaxed structure of SmYTmZn.

a b c (Å): 5.3528 5.3528 5.3528
angles (deg): 60.00 60.00 60.00
With the nearest neighbours (Å) after each atom.
Positions (direct):
Y 0.7500 0.7500 0.7500  4 Tm 3.28, 4 Zn 3.28
Zn 0.0000 0.0000 0.0000  4 Sm 3.28, 4 Y 3.28
Tm 0.5000 0.5000 0.5000  4 Y 3.28, 4 Sm 3.28
Sm 0.2500 0.2500 0.2500  4 Tm 3.28, 4 Zn 3.28

DFT formation energy: 0.1 eV per formula unit
electronic total energy: -4.205 eV/atom
spin magnetization: 0.000 μB per atom
relative energy among the computed polymorphs: 0.779 eV/f.u.



[8]
DFT (PBE) results for a relaxed structure of Cu3AuI.

a b c (Å): 4.9194 4.9194 4.9194
angles (deg): 90.00 90.00 90.00
With the nearest neighbours (Å) after each atom.
Positions (direct):
Au 0.5000 0.5000 0.5000  12 Cu 3.48
Cu 0.0000 0.5000 0.0000  2 I 2.46
Cu 0.5000 0.0000 0.0000  2 I 2.46
Cu 0.0000 0.0000 0.5000  2 I 2.46
I 0.0000 0.0000 0.0000  6 Cu 2.46

electronic total energy: -2.378 eV/atom
spin magnetization: 0.000 μB per atom
energy relative to the elements, uncorrected: 504 kJ/mol of formula units
relative energy among the computed polymorphs: 1.932 eV/f.u.